A:
{
  "formula": "YMgIN2",
  "functional": "GGA-PBE",
  "state": "relaxed",
  "lattice": [[4.216, 0.000, 0.000], [0.000, 4.216, 0.000], [0.000, 0.000, 5.291]],
  "species": ["Y", "Mg", "N", "N", "I"],
  "fractional_positions": [[0.500, 0.500, 0.500], [0.000, 0.000, 0.000], [0.000, 0.500, 0.000], [0.500, 0.000, 0.000], [0.000, 0.000, 0.500]],
  "volume_a3_per_atom": 18.81,
  "sg": "No. 123"
}

B:
{
  "formula": "YMgIN2",
  "functional": "GGA-PBE",
  "state": "relaxed",
  "lattice": [[4.392, 0.000, 0.000], [0.000, 4.392, 0.000], [0.000, 0.000, 6.170]],
  "species": ["Y", "N", "I", "N", "Mg"],
  "fractional_positions": [[0.000, 0.000, 0.000], [0.500, 0.000, 0.000], [0.000, 0.000, 0.500], [0.000, 0.500, 0.000], [0.500, 0.500, 0.500]],
  "volume_a3_per_atom": 23.80,
  "sg": "No. 123"
}

Which structure is the most stable? The one labeled B.